MoN3O | PBE with a Hubbard U | relaxed

Cell: 3.973 3.973 3.973 Å, 90.00 90.00 90.00°
Sites, in units of the cell vectors:
Mo  0.000  0.000  0.000
N  0.000  0.000  0.500
N  0.000  0.500  0.000
N  0.500  0.000  0.000
O  0.500  0.500  0.500

Summary:
**SG**: Pm-3m (221)
**Uncorrected energy**: -28.27 eV/cell
**Density of states at the Fermi level**: 3.98 states/eV per cell